Entry 1:
CaPr2PbN: relaxed, PBE-GGA.

The calculation puts the density at 7.06 Mg/m³. Its total DFT energy (no corrections) is -5.59 eV per atom. The density of states at the Fermi level comes out at 2.0 states/eV per cell. The value obtained for the size of the total moment is 0.0 μB per formula unit. Its formation energy (no corrections) is -0.867 eV/atom.

The structure belongs to space group P4/mmm (No. 123); the cell edges are 5.093, 5.093 and 4.924 Å and the angles 90.00°, 90.00° and 90.00°. Symmetry generates all atoms from Ca at (0.000, 0.000, 0.000), Pr at (0.000, 0.500, 0.500), Pb at (0.500, 0.500, 0.000) and N at (0.000, 0.000, 0.500).

---

Entry 2:
Ca2PtPbN: relaxed, PBE-GGA.

The calculation puts the density at 7.45 Mg/m³. Its total DFT energy (no corrections) is -4.95 eV per atom. The density of states at the Fermi level comes out at 3.5 states/eV per cell. The value obtained for the size of the total moment is 0.0 μB per formula unit. Its formation energy (no corrections) is -0.538 eV/atom.

The structure belongs to space group P4/mmm (No. 123); the cell edges are 5.384, 5.384 and 3.820 Å and the angles 90.00°, 90.00° and 90.00°. Symmetry generates all atoms from Ca at (0.000, 0.500, 0.000), Pt at (0.000, 0.000, 0.500), Pb at (0.500, 0.500, 0.500) and N at (0.000, 0.000, 0.000).

---

Entry 3:
Ca2RhPbN: relaxed, PBE-GGA.

The calculation puts the density at 6.39 Mg/m³. Its total DFT energy (no corrections) is -5.20 eV per atom. The density of states at the Fermi level comes out at 3.3 states/eV per cell. The value obtained for the size of the total moment is 0.0 μB per formula unit. Its formation energy (no corrections) is -0.522 eV/atom.

The structure belongs to space group P4/mmm (No. 123); the cell edges are 5.215, 5.215 and 3.864 Å and the angles 90.00°, 90.00° and 90.00°. Symmetry generates all atoms from Ca at (0.000, 0.500, 0.000), Rh at (0.000, 0.000, 0.500), Pb at (0.500, 0.500, 0.500) and N at (0.000, 0.000, 0.000).

---

Entry 4:
CaPbS2N: relaxed, PBE-GGA.

Its energy above the most stable polymorph in this dataset is 149.4 meV per atom. The calculation puts the density at 4.23 Mg/m³. Its total DFT energy (no corrections) is -4.18 eV per atom. The density of states at the Fermi level comes out at 4.2 states/eV per cell. The value obtained for the size of the total moment is 2.9 μB per formula unit. Its formation energy (no corrections) is 0.275 eV/atom.

The structure belongs to space group P4/mmm (No. 123); the cell edges are 5.314, 5.314 and 4.527 Å and the angles 90.00°, 90.00° and 90.00°. Symmetry generates all atoms from Ca at (0.000, 0.000, 0.000), Pb at (0.500, 0.500, 0.500), S at (0.000, 0.500, 0.000) and N at (0.000, 0.000, 0.500).

---

Entry 5:
CaPbS2N: relaxed, PBE-GGA.

Its energy above the most stable polymorph in this dataset is 0.0 meV per atom. The calculation puts the density at 4.53 Mg/m³. Its total DFT energy (no corrections) is -4.33 eV per atom. The density of states at the Fermi level comes out at 1.8 states/eV per cell. The value obtained for the size of the total moment is 1.3 μB per formula unit. Its formation energy (no corrections) is 0.125 eV/atom.

The structure belongs to space group P4/mmm (No. 123); the cell edges are 5.270, 5.270 and 4.297 Å and the angles 90.00°, 90.00° and 90.00°. Symmetry generates all atoms from Ca at (0.000, 0.000, 0.000), Pb at (0.500, 0.500, 0.500), S at (0.000, 0.500, 0.500) and N at (0.500, 0.500, 0.000).

---

Entry 6:
CaSc2PbN: relaxed, PBE-GGA.

The calculation puts the density at 5.88 Mg/m³. Its total DFT energy (no corrections) is -6.30 eV per atom. The density of states at the Fermi level comes out at 2.1 states/eV per cell. The value obtained for the size of the total moment is 0.0 μB per formula unit. Its formation energy (no corrections) is -0.956 eV/atom.

The structure belongs to space group P4/mmm (No. 123); the cell edges are 4.516, 4.516 and 4.860 Å and the angles 90.00°, 90.00° and 90.00°. Symmetry generates all atoms from Ca at (0.000, 0.000, 0.000), Sc at (0.000, 0.500, 0.500), Pb at (0.500, 0.500, 0.000) and N at (0.000, 0.000, 0.500).

---

Entry 7:
Ca2ScPbN: relaxed, PBE-GGA.

The calculation puts the density at 5.30 Mg/m³. Its total DFT energy (no corrections) is -5.38 eV per atom. The density of states at the Fermi level comes out at 1.0 states/eV per cell. The value obtained for the size of the total moment is 0.0 μB per formula unit. Its formation energy (no corrections) is -0.902 eV/atom.

The structure belongs to space group P4/mmm (No. 123); the cell edges are 4.908, 4.908 and 4.504 Å and the angles 90.00°, 90.00° and 90.00°. Symmetry generates all atoms from Ca at (0.000, 0.500, 0.000), Sc at (0.000, 0.000, 0.500), Pb at (0.500, 0.500, 0.500) and N at (0.000, 0.000, 0.000).

---

Entry 8:
CaPbSeN2: relaxed, PBE-GGA.

Its energy above the most stable polymorph in this dataset is 0.0 meV per atom. The calculation puts the density at 5.02 Mg/m³. Its total DFT energy (no corrections) is -4.44 eV per atom. The density of states at the Fermi level comes out at 3.4 states/eV per cell. The value obtained for the size of the total moment is 2.3 μB per formula unit. Its formation energy (no corrections) is 0.730 eV/atom.

The structure belongs to space group P4/mmm (No. 123); the cell edges are 4.514, 4.514 and 5.752 Å and the angles 90.00°, 90.00° and 90.00°. Symmetry generates all atoms from Ca at (0.000, 0.000, 0.000), Pb at (0.500, 0.500, 0.500), Se at (0.500, 0.500, 0.000) and N at (0.000, 0.500, 0.500).

---

Entry 9:
CaPbSeN2: relaxed, PBE-GGA.

Its energy above the most stable polymorph in this dataset is 201.8 meV per atom. The calculation puts the density at 4.25 Mg/m³. Its total DFT energy (no corrections) is -4.24 eV per atom. The density of states at the Fermi level comes out at 2.4 states/eV per cell. The value obtained for the size of the total moment is 4.0 μB per formula unit. Its formation energy (no corrections) is 0.931 eV/atom.

The structure belongs to space group P4/mmm (No. 123); the cell edges are 4.793, 4.793 and 6.029 Å and the angles 90.00°, 90.00° and 90.00°. Symmetry generates all atoms from Ca at (0.000, 0.000, 0.000), Pb at (0.500, 0.500, 0.500), Se at (0.000, 0.000, 0.500) and N at (0.000, 0.500, 0.000).

---

Entry 10:
CaPbSe2N: relaxed, PBE-GGA.

Its energy above the most stable polymorph in this dataset is 0.0 meV per atom. The calculation puts the density at 4.25 Mg/m³. Its total DFT energy (no corrections) is -3.93 eV per atom. The density of states at the Fermi level comes out at 1.3 states/eV per cell. The value obtained for the size of the total moment is 1.9 μB per formula unit. Its formation energy (no corrections) is 0.268 eV/atom.

The structure belongs to space group P4/mmm (No. 123); the cell edges are 5.887, 5.887 and 4.724 Å and the angles 90.00°, 90.00° and 90.00°. Symmetry generates all atoms from Ca at (0.000, 0.000, 0.000), Pb at (0.500, 0.500, 0.500), Se at (0.000, 0.500, 0.500) and N at (0.500, 0.500, 0.000).

---

Entry 11:
CaPbSe2N: relaxed, PBE-GGA.

Its energy above the most stable polymorph in this dataset is 2.3 meV per atom. The calculation puts the density at 4.47 Mg/m³. Its total DFT energy (no corrections) is -3.93 eV per atom. The density of states at the Fermi level comes out at 4.8 states/eV per cell. The value obtained for the size of the total moment is 2.8 μB per formula unit. Its formation energy (no corrections) is 0.270 eV/atom.

The structure belongs to space group P4/mmm (No. 123); the cell edges are 5.758, 5.758 and 4.701 Å and the angles 90.00°, 90.00° and 90.00°. Symmetry generates all atoms from Ca at (0.000, 0.000, 0.000), Pb at (0.500, 0.500, 0.500), Se at (0.000, 0.500, 0.000) and N at (0.000, 0.000, 0.500).

---

Entry 12:
Ca12Sn4PbN3: relaxed, PBE-GGA.

The calculation puts the density at 3.69 Mg/m³. Its total DFT energy (no corrections) is -4.09 eV per atom. The density of states at the Fermi level comes out at 18.1 states/eV per cell. The value obtained for the size of the total moment is 0.0 μB per formula unit. Its formation energy (no corrections) is -0.652 eV/atom.

The structure belongs to space group Im-3m (No. 229); the cell edges are 10.273, 10.273 and 10.273 Å and the angles 90.00°, 90.00° and 90.00°. Symmetry generates all atoms from Ca at (0.000, 0.000, 0.284), Ca at (0.000, 0.250, 0.500), Sn at (0.250, 0.250, 0.250), Pb at (0.000, 0.000, 0.000) and N at (0.000, 0.000, 0.500).